Entry 1:
A plane-wave DFT calculation with PBE was carried out for a geometry-optimized Er2FeAu structure.

Lattice parameters (Å, degrees): 3.346 3.346 7.231 90.00 90.00 90.00
Space group P4/mmm (No. 123)
Unique sites:
Er1 0.000 0.000 0.224
Fe1 0.500 0.500 0.000
Au1 0.500 0.500 0.500

Results
Final energy = -22.41 eV/f.u.
Total moment = 0.00 μB per formula unit
V = 80.97 Å³/cell
E_form = -0.39 eV/atom

***

Entry 2:
A plane-wave DFT calculation with PBE was carried out for a geometry-optimized Sm2CoSi4Ni3 structure.

Lattice parameters (Å, degrees): 3.994 3.994 9.606 90.00 90.00 90.00
Space group P-4m2 (No. 115)
Unique sites:
Sm1 0.000 0.500 0.248
Co1 0.000 0.000 0.500
Si1 0.000 0.000 0.000
Si2 0.000 0.500 0.627
Si3 0.500 0.500 0.000
Ni1 0.000 0.500 0.875
Ni2 0.500 0.500 0.500

Results
ΔE_f (raw) = -0.81 eV per atom
Final energy = -63.63 eV/f.u.
Total moment = 0.74 μB per formula unit
V = 153.21 Å³/cell

***

Entry 3:
A plane-wave DFT calculation with PBE was carried out for a geometry-optimized CeGdHoMg structure.

Lattice parameters (Å, degrees): 7.792 7.792 7.792 90.00 90.00 90.00
Space group F-43m (No. 216)
Unique sites:
Ce1 0.000 0.000 0.000
Gd1 0.000 0.000 0.500
Ho1 0.250 0.250 0.250
Mg1 0.250 0.250 0.750

Results
Final energy = -25.86 eV/f.u.
Total moment = 8.70 μB per formula unit
V = 473.16 Å³/cell
E_form = 0.08 eV/atom

***

Entry 4:
A plane-wave DFT calculation with PBE was carried out for a geometry-optimized Pr2TmGe4Pt3 structure.

Lattice parameters (Å, degrees): 4.321 4.321 11.231 90.00 90.00 90.00
Space group P-4m2 (No. 115)
Unique sites:
Pr1 0.000 0.500 0.233
Tm1 0.000 0.000 0.500
Ge1 0.000 0.000 0.000
Ge2 0.000 0.500 0.660
Ge3 0.500 0.500 0.000
Pt1 0.000 0.500 0.882
Pt2 0.500 0.500 0.500

Results
Final energy = -59.89 eV/f.u.
Total moment = 0.00 μB per formula unit
V = 209.65 Å³/cell
E_form = -0.93 eV/atom

***

Entry 5:
A plane-wave DFT calculation with PBE was carried out for a geometry-optimized AsAuBr2 structure.

Lattice parameters (Å, degrees): 7.092 7.092 7.092 90.00 90.00 90.00
Space group F-43m (No. 216)
Unique sites:
As1 0.000 0.000 0.000
Au1 0.250 0.250 0.750
Br1 0.000 0.000 0.500
Br2 0.250 0.250 0.250

Results
Offset from the most stable computed form = 786 meV per atom
ΔE_f (raw) = 0.57 eV per atom
Final energy = -9.01 eV/f.u.
Total moment = 0.00 μB per formula unit
V = 356.74 Å³/cell

***

Entry 6:
A plane-wave DFT calculation with PBE was carried out for a geometry-optimized Hf3MgCo8 structure.

Lattice parameters (Å, degrees): 4.8329 4.8329 7.9452 90.00 90.00 120.00
Space group P3m1 (No. 156)
Unique sites:
Hf1 0.0000 0.0000 0.0000
Hf2 0.0000 0.0000 0.3764
Hf3 0.3333 0.6667 0.8519
Mg1 0.3333 0.6667 0.4890
Co1 0.0061 0.5031 0.1810
Co2 0.3293 0.1647 0.6827
Co3 0.6667 0.3333 0.4339
Co4 0.6667 0.3333 0.9353

Results
Final energy = -92.03 eV/f.u.
Total moment = 5.60 μB per formula unit
V = 160.71 Å³/cell
E_form = -0.31 eV/atom

***

Entry 7:
A plane-wave DFT calculation with PBE was carried out for a geometry-optimized P3C structure.

Lattice parameters (Å, degrees): 5.702 5.702 5.702 90.00 90.00 90.00
Space group Fm-3m (No. 225)
Unique sites:
P1 0.000 0.000 0.000
P2 0.250 0.250 0.250
C1 0.000 0.000 0.500

Results
Offset from the most stable computed form = 1213 meV per atom
Final energy = -18.97 eV/f.u.
Total moment = 0.00 μB per formula unit
V = 185.35 Å³/cell
E_form = 1.62 eV/atom

***

Entry 8:
A plane-wave DFT calculation with PBE was carried out for a geometry-optimized Zr2CdPb structure.

Lattice parameters (Å, degrees): 4.508 4.508 4.449 90.00 90.00 90.00
Space group P4/mmm (No. 123)
Unique sites:
Zr1 0.000 0.500 0.000
Cd1 0.000 0.000 0.500
Pb1 0.500 0.500 0.500

Results
Final energy = -22.32 eV/f.u.
Total moment = 0.00 μB per formula unit
V = 90.41 Å³/cell
E_form = -0.15 eV/atom

***

Entry 9:
A plane-wave DFT calculation with PBE was carried out for a geometry-optimized La3CeMg2 structure.

Lattice parameters (Å, degrees): 3.634 3.634 14.094 90.00 90.00 90.00
Space group P4/mmm (No. 123)
Unique sites:
La1 0.000 0.000 0.000
La2 0.000 0.000 0.333
Ce1 0.500 0.500 0.500
Mg1 0.500 0.500 0.165

Results
Final energy = -24.16 eV/f.u.
Total moment = 0.00 μB per formula unit
V = 186.17 Å³/cell
E_form = -0.04 eV/atom

***

Entry 10:
A plane-wave DFT calculation with PBE was carried out for a geometry-optimized Ce2Tc3B4 structure.

Lattice parameters (Å, degrees): 6.428 6.696 5.881 90.00 106.92 90.00
Space group P2_1/c (No. 14)
Unique sites:
Ce1 0.218 0.158 0.067
Tc1 0.215 0.688 0.264
Tc2 0.500 0.000 0.500
B1 0.078 0.544 0.905
B2 0.446 0.675 0.627

Results
Final energy = -72.52 eV/f.u.
Total moment = 0.00 μB per formula unit
V = 242.17 Å³/cell
E_form = -0.32 eV/atom

***

Entry 11:
A plane-wave DFT calculation with PBE was carried out for a geometry-optimized CrIr4Au structure.

Lattice parameters (Å, degrees): 7.332 7.332 7.332 90.00 90.00 90.00
Space group F-43m (No. 216)
Unique sites:
Cr1 0.000 0.000 0.000
Ir1 0.125 0.125 0.625
Au1 0.250 0.250 0.250

Results
Final energy = -45.47 eV/f.u.
Total moment = 1.82 μB per formula unit
V = 394.12 Å³/cell
E_form = 0.48 eV/atom

***

Entry 12:
A plane-wave DFT calculation with PBE was carried out for a geometry-optimized Na2Cd3Ga structure.

Lattice parameters (Å, degrees): 6.529 10.040 17.296 90.00 90.00 90.00
Space group Fmmm (No. 69)
Unique sites:
Na1 0.247 0.000 0.000
Na2 0.250 0.250 0.250
Cd1 0.000 0.000 0.170
Cd2 0.000 0.244 0.414
Ga1 0.000 0.000 0.333

Results
Offset from the most stable computed form = 3 meV per atom
Final energy = -9.02 eV/f.u.
Total moment = 0.00 μB per formula unit
V = 1133.82 Å³/cell
E_form = -0.10 eV/atom

***

Entry 13:
A plane-wave DFT calculation with PBE was carried out for a geometry-optimized Y5As3 structure.

Lattice parameters (Å, degrees): 8.5182 8.5182 6.1387 90.00 90.00 120.00
Space group P6_3/mcm (No. 193)
Unique sites:
Y1 0.0000 0.2503 0.2500
Y2 0.3333 0.6667 0.0000
As1 0.0000 0.3865 0.7500

Results
Offset from the most stable computed form = 0 meV per atom
Final energy = -55.23 eV/f.u.
Total moment = 0.00 μB per formula unit
V = 385.75 Å³/cell
E_form = -1.12 eV/atom

***

Entry 14:
A plane-wave DFT calculation with PBE was carried out for a geometry-optimized Al2CdRh2 structure.

Lattice parameters (Å, degrees): 3.808 3.808 11.686 90.00 90.00 90.00
Space group I4/mmm (No. 139)
Unique sites:
Al1 0.000 0.500 0.250
Cd1 0.000 0.000 0.000
Rh1 0.000 0.000 0.387

Results
Offset from the most stable computed form = 198 meV per atom
Final energy = -25.62 eV/f.u.
Total moment = 0.00 μB per formula unit
V = 169.43 Å³/cell
E_form = -0.50 eV/atom

***

Entry 15:
A plane-wave DFT calculation with PBE was carried out for a geometry-optimized ZrSb2Ir structure.

Lattice parameters (Å, degrees): 3.777 4.023 11.105 90.00 90.00 90.00
Space group Imm2 (No. 44)
Unique sites:
Zr1 0.000 0.000 0.000
Sb1 0.000 0.000 0.421
Sb2 0.000 0.500 0.191
Ir1 0.000 0.500 0.745

Results
Offset from the most stable computed form = 32 meV per atom
ΔE_f (raw) = -0.33 eV per atom
Final energy = -26.99 eV/f.u.
Total moment = 0.00 μB per formula unit
V = 168.70 Å³/cell

***

Entry 16:
A plane-wave DFT calculation with PBE was carried out for a geometry-optimized KCaPrI6 structure.

Lattice parameters (Å, degrees): 8.1228 8.1228 15.5079 90.00 90.00 120.00
Space group P-31c (No. 163)
Unique sites:
K1 0.0000 0.0000 0.0000
Ca1 0.3333 0.6667 0.2500
Pr1 0.3333 0.6667 0.7500
I1 0.0005 0.3674 0.1327

Results
ΔE_f (raw) = -1.50 eV per atom
Final energy = -30.70 eV/f.u.
Total moment = 0.00 μB per formula unit
V = 886.12 Å³/cell

***

Entry 17:
A plane-wave DFT calculation with PBE was carried out for a geometry-optimized Tb3AlCu4 structure.

Lattice parameters (Å, degrees): 3.823 6.440 13.839 90.00 90.00 90.00
Space group Immm (No. 71)
Unique sites:
Tb1 0.000 0.000 0.000
Tb2 0.000 0.500 0.190
Al1 0.000 0.000 0.500
Cu1 0.000 0.305 0.377

Results
Final energy = -34.95 eV/f.u.
Total moment = 0.00 μB per formula unit
V = 340.71 Å³/cell
E_form = -0.12 eV/atom

***

Entry 18:
A plane-wave DFT calculation with PBE was carried out for a geometry-optimized NaTlSi3 structure.

Lattice parameters (Å, degrees): 5.345 5.345 5.345 90.00 90.00 90.00
Space group Pm-3m (No. 221)
Unique sites:
Na1 0.000 0.000 0.000
Tl1 0.500 0.500 0.500
Si1 0.000 0.500 0.500

Results
Offset from the most stable computed form = 0 meV per atom
ΔE_f (raw) = 1.19 eV per atom
Final energy = -14.00 eV/f.u.
Total moment = 0.00 μB per formula unit
V = 152.70 Å³/cell

***

Entry 19:
A plane-wave DFT calculation with PBE was carried out for a geometry-optimized Pr3Sb4Rh8 structure.

Lattice parameters (Å, degrees): 13.222 13.222 13.222 90.00 90.00 90.00
Space group Fm-3m (No. 225)
Unique sites:
Pr1 0.000 0.000 0.228
Sb1 0.000 0.000 0.000
Sb2 0.000 0.000 0.500
Sb3 0.000 0.250 0.250
Rh1 0.122 0.122 0.378
Rh2 0.168 0.168 0.168

Results
ΔE_f (raw) = -0.66 eV per atom
Final energy = -99.55 eV/f.u.
Total moment = 0.00 μB per formula unit
V = 2311.24 Å³/cell

***

Entry 20:
A plane-wave DFT calculation with PBE was carried out for a geometry-optimized Cd3HgSe structure.

Lattice parameters (Å, degrees): 5.561 5.561 5.561 90.00 90.00 90.00
Space group Pm-3m (No. 221)
Unique sites:
Cd1 0.000 0.000 0.500
Hg1 0.500 0.500 0.500
Se1 0.000 0.000 0.000

Results
Offset from the most stable computed form = 0 meV per atom
ΔE_f (raw) = 0.23 eV per atom
Final energy = -5.41 eV/f.u.
Total moment = 0.00 μB per formula unit
V = 171.97 Å³/cell

***

Entry 21:
A plane-wave DFT calculation with PBE was carried out for a geometry-optimized Ca2CdSi structure.

Lattice parameters (Å, degrees): 3.704 4.834 6.270 90.00 90.00 90.00
Space group Pmm2 (No. 25)
Unique sites:
Ca1 0.000 0.000 0.000
Ca2 0.500 0.500 0.381
Cd1 0.000 0.000 0.522
Si1 0.500 0.500 0.881

Results
ΔE_f (raw) = -0.08 eV per atom
Final energy = -10.65 eV/f.u.
Total moment = 0.00 μB per formula unit
V = 112.29 Å³/cell

***

Entry 22:
A plane-wave DFT calculation with PBE was carried out for a geometry-optimized MgTaH structure.

Lattice parameters (Å, degrees): 4.5264 4.5264 5.4831 90.00 90.00 120.00
Space group P6_3/mmc (No. 194)
Unique sites:
Mg1 0.3333 0.6667 0.2500
Ta1 0.3333 0.6667 0.7500
H1 0.0000 0.0000 0.2500

Results
Offset from the most stable computed form = 1608 meV per atom
Final energy = -12.15 eV/f.u.
Total moment = 0.00 μB per formula unit
V = 97.29 Å³/cell

***

Entry 23:
A plane-wave DFT calculation with PBE was carried out for a geometry-optimized TlFeAs2 structure.

Lattice parameters (Å, degrees): 5.634 7.892 3.614 90.00 90.00 90.00
Space group Cmmm (No. 65)
Unique sites:
Tl1 0.000 0.000 0.000
Fe1 0.000 0.500 0.000
As1 0.250 0.250 0.500

Results
Offset from the most stable computed form = 519 meV per atom
Final energy = -17.91 eV/f.u.
Total moment = 2.81 μB per formula unit
V = 160.69 Å³/cell
E_form = 0.55 eV/atom

***

Entry 24:
A plane-wave DFT calculation with PBE was carried out for a geometry-optimized PrNd3Y2S6 structure.

Lattice parameters (Å, degrees): 6.957 12.084 6.985 90.00 109.44 90.00
Space group C2/m (No. 12)
Unique sites:
Pr1 0.000 0.000 0.000
Nd1 0.000 0.162 0.500
Nd2 0.000 0.500 0.500
Y1 0.000 0.334 0.000
S1 0.236 0.500 0.239
S2 0.247 0.328 0.757

Results
ΔE_f (raw) = -2.02 eV per atom
Final energy = -80.98 eV/f.u.
Total moment = 0.00 μB per formula unit
V = 553.70 Å³/cell